(1)
Here is crystalline Mn2TeMo at its relaxed geometry from Alexandria. Energies are from PBE. Values from VASP.

Structure (Quantum ESPRESSO input):
```
&SYSTEM
  ibrav = 0, nat = 4, ntyp = 3
/
ATOMIC_SPECIES
Mn 54.94 Mn.upf
Te 127.60 Te.upf
Mo 95.94 Mo.upf
ATOMIC_POSITIONS angstrom
Mn 1.8485 0.0000 0.9612
Mn 5.6531 0.0000 2.9471
Te -1.0076 0.0000 1.9542
Mo 4.7584 0.0000 0.0000
CELL_PARAMETERS angstrom
4.7584 -1.6940 0.0000
4.7584 1.6940 0.0000
-2.0152 0.0000 3.9084
```

Output
The calculation puts the raw formation energy at 384 meV per atom. The total magnetization is 4.862 μB/cell.

(2)
Here is crystalline MgNbAu at its relaxed geometry from Alexandria. Energies are from PBE. Values from VASP.

Structure (Quantum ESPRESSO input):
```
&SYSTEM
  ibrav = 0, nat = 6, ntyp = 3
/
ATOMIC_SPECIES
Mg 24.30 Mg.upf
Nb 92.91 Nb.upf
Au 196.97 Au.upf
ATOMIC_POSITIONS angstrom
Mg 0.0000 0.0000 0.0000
Mg 0.0155 0.0219 4.4711
Nb -0.0015 2.5141 2.1799
Nb 1.6143 2.5150 4.3581
Au 0.0151 1.9059 6.7148
Au 1.6087 0.0189 2.2919
CELL_PARAMETERS angstrom
3.1958 0.0000 0.0000
-0.0055 4.9813 0.0000
-1.5761 -0.5599 7.0362
```

Output
The total magnetization is 0.000 μB/cell. The formation enthalpy at 0 K is -0.123 eV per atom.

(3)
Here is crystalline LiSm2NpTe4 at its relaxed geometry from Alexandria. Energies are from PBE. Values from VASP.

Structure (Quantum ESPRESSO input):
```
&SYSTEM
  ibrav = 0, nat = 8, ntyp = 4
/
ATOMIC_SPECIES
Li 6.94 Li.upf
Sm 150.36 Sm.upf
Np 237.00 Np.upf
Te 127.60 Te.upf
ATOMIC_POSITIONS angstrom
Li 0.0000 0.0000 0.0000
Sm 2.5368 0.0000 3.5997
Sm 3.8152 2.1972 0.0000
Np -1.2784 2.1972 3.5997
Te 1.2139 2.1972 1.7280
Te -0.0777 0.0000 5.4244
Te 5.1513 0.0000 1.7749
Te 3.8597 2.1972 5.4713
CELL_PARAMETERS angstrom
7.6304 0.0000 0.0000
0.0000 4.3943 0.0000
-2.5568 0.0000 7.1993
```

Output
The calculation puts the raw formation energy at -1136 meV per atom. The total magnetization is 4.671 μB/cell.

(4)
Here is crystalline ErLu at its relaxed geometry from Alexandria. Energies are from PBE. Values from VASP.

Structure (Quantum ESPRESSO input):
```
&SYSTEM
  ibrav = 0, nat = 2, ntyp = 2
/
ATOMIC_SPECIES
Er 167.26 Er.upf
Lu 174.97 Lu.upf
ATOMIC_POSITIONS angstrom
Er 0.0000 0.0000 0.0000
Lu 1.9613 1.9613 1.9613
CELL_PARAMETERS angstrom
3.9226 0.0000 0.0000
0.0000 3.9226 0.0000
0.0000 0.0000 3.9226
```

Output
For the polymorph energy (0 for the lowest one), the calculation gives 79 meV per atom. The total magnetization is 0.001 μB/cell. The formation enthalpy at 0 K is 0.127 eV per atom.

(5)
Here is crystalline Sm3TmC8 at its relaxed geometry from Alexandria. Energies are from PBE. Values from VASP.

Structure (Quantum ESPRESSO input):
```
&SYSTEM
  ibrav = 0, nat = 12, ntyp = 3
/
ATOMIC_SPECIES
Sm 150.36 Sm.upf
Tm 168.93 Tm.upf
C 12.01 C.upf
ATOMIC_POSITIONS angstrom
Sm 0.0000 0.0000 0.0000
Sm 3.5768 0.0000 1.8925
Sm 0.0000 3.5768 1.8925
Tm 0.0000 0.0000 3.7850
C 1.8949 -1.8949 2.8437
C 1.1423 -1.1423 2.1102
C 1.6819 1.6819 0.9413
C -1.1423 1.1423 2.1102
C 2.4345 2.4345 1.6749
C -1.8949 1.8949 2.8437
C 1.1423 1.1423 5.4599
C 1.8949 1.8949 4.7264
CELL_PARAMETERS angstrom
-3.5768 3.5768 3.7850
3.5768 -3.5768 3.7850
3.5768 3.5768 -3.7850
```

Output
The total magnetization is 0.000 μB/cell. The formation enthalpy at 0 K is 0.140 eV per atom.

(6)
Here is crystalline Dy2InRh4 at its relaxed geometry from Alexandria. Energies are from PBE. Values from VASP.

Structure (Quantum ESPRESSO input):
```
&SYSTEM
  ibrav = 0, nat = 7, ntyp = 3
/
ATOMIC_SPECIES
Dy 162.50 Dy.upf
In 114.82 In.upf
Rh 102.91 Rh.upf
ATOMIC_POSITIONS angstrom
Dy 0.0000 0.0000 5.5123
Dy 0.0000 0.0000 17.1459
In 0.0000 0.0000 0.0000
Rh 0.0000 0.0000 2.7724
Rh 0.0000 0.0000 8.4408
Rh 0.0000 0.0000 14.2173
Rh 0.0000 0.0000 19.8857
CELL_PARAMETERS angstrom
2.2955 1.3253 7.5527
-2.2955 1.3253 7.5527
0.0000 -2.6506 7.5527
```

Output
The total magnetization is 0.000 μB/cell. The formation enthalpy at 0 K is -0.431 eV per atom.

(7)
Here is crystalline InRePt2 at its relaxed geometry from Alexandria. Energies are from PBE. Values from VASP.

Structure (Quantum ESPRESSO input):
```
&SYSTEM
  ibrav = 0, nat = 8, ntyp = 3
/
ATOMIC_SPECIES
In 114.82 In.upf
Re 186.21 Re.upf
Pt 195.08 Pt.upf
ATOMIC_POSITIONS angstrom
In 0.0000 0.0000 0.0000
In 0.0000 1.9960 4.5683
Re 1.9960 0.0000 4.5683
Re 0.0000 0.0000 9.1366
Pt 0.9980 -0.9443 6.8524
Pt 1.0517 0.9980 2.2841
Pt 0.9980 2.9403 -2.2841
Pt 0.9443 0.9980 11.4207
CELL_PARAMETERS angstrom
-1.9960 1.9960 9.1366
1.9960 -1.9960 9.1366
1.9960 1.9960 -9.1366
```

Output
The total magnetization is 0.000 μB/cell. The formation enthalpy at 0 K is 0.485 eV per atom.

(8)
Here is crystalline HfIn2Pd at its relaxed geometry from Alexandria. Energies are from PBE. Values from VASP.

Structure (Quantum ESPRESSO input):
```
&SYSTEM
  ibrav = 0, nat = 4, ntyp = 3
/
ATOMIC_SPECIES
Hf 178.49 Hf.upf
In 114.82 In.upf
Pd 106.42 Pd.upf
ATOMIC_POSITIONS angstrom
Hf 0.0000 0.0000 0.0000
In 0.0000 0.0000 16.1130
In 0.0000 0.0000 21.1990
Pd 0.0000 0.0000 4.6617
CELL_PARAMETERS angstrom
1.5974 0.9223 9.3349
-1.5974 0.9223 9.3349
0.0000 -1.8445 9.3349
```

Output
For the polymorph energy (0 for the lowest one), the calculation gives 126 meV per atom. The total magnetization is 0.000 μB/cell. The formation enthalpy at 0 K is -0.222 eV per atom.

(9)
Here is crystalline LiSmCdPd at its relaxed geometry from Alexandria. Energies are from PBE. Values from VASP.

Structure (Quantum ESPRESSO input):
```
&SYSTEM
  ibrav = 0, nat = 4, ntyp = 4
/
ATOMIC_SPECIES
Li 6.94 Li.upf
Sm 150.36 Sm.upf
Cd 112.41 Cd.upf
Pd 106.42 Pd.upf
ATOMIC_POSITIONS angstrom
Li 0.0000 0.0000 0.0000
Sm 5.1743 5.1743 5.1743
Cd 1.7248 1.7248 1.7248
Pd 3.4495 3.4495 3.4495
CELL_PARAMETERS angstrom
0.0000 3.4495 3.4495
3.4495 0.0000 3.4495
3.4495 3.4495 0.0000
```

Output
The total magnetization is 0.020 μB/cell. The formation enthalpy at 0 K is -0.440 eV per atom.

(10)
Here is crystalline CaPr2Hg7 at its relaxed geometry from Alexandria. Energies are from PBE. Values from VASP.

Structure (Quantum ESPRESSO input):
```
&SYSTEM
  ibrav = 0, nat = 10, ntyp = 3
/
ATOMIC_SPECIES
Ca 40.08 Ca.upf
Pr 140.91 Pr.upf
Hg 200.59 Hg.upf
ATOMIC_POSITIONS angstrom
Ca 0.0000 0.0000 0.0000
Pr 0.0000 2.9417 8.5515
Pr 2.5476 1.4708 4.5308
Hg 0.0000 0.0000 3.3715
Hg 0.0000 0.0000 6.8791
Hg 0.0000 2.9417 2.3910
Hg 0.0000 2.9417 5.5355
Hg 0.0000 2.9417 11.6284
Hg 2.5476 1.4708 1.1436
Hg 2.5476 1.4708 10.1019
CELL_PARAMETERS angstrom
5.0951 0.0000 0.0000
-2.5476 4.4125 0.0000
0.0000 0.0000 12.3072
```

Output
The total magnetization is 0.000 μB/cell. The formation enthalpy at 0 K is -0.328 eV per atom.

(11)
Here is crystalline CuP2Ir at its relaxed geometry from Alexandria. Energies are from PBE. Values from VASP.

Structure (Quantum ESPRESSO input):
```
&SYSTEM
  ibrav = 0, nat = 4, ntyp = 3
/
ATOMIC_SPECIES
Cu 63.55 Cu.upf
P 30.97 P.upf
Ir 192.22 Ir.upf
ATOMIC_POSITIONS angstrom
Cu 0.0000 0.0000 0.0000
P 1.2107 1.9186 0.8398
P 1.7275 1.9186 3.5173
Ir 1.4691 0.0000 2.1786
CELL_PARAMETERS angstrom
3.7557 0.0000 0.0000
0.0000 3.8373 0.0000
-0.8175 0.0000 4.3571
```

Output
For the polymorph energy (0 for the lowest one), the calculation gives 134 meV per atom. The total magnetization is 0.000 μB/cell. The formation enthalpy at 0 K is -0.014 eV per atom.

(12)
Here is crystalline Sb2RuPb at its relaxed geometry from Alexandria. Energies are from PBE. Values from VASP.

Structure (Quantum ESPRESSO input):
```
&SYSTEM
  ibrav = 0, nat = 4, ntyp = 3
/
ATOMIC_SPECIES
Sb 121.76 Sb.upf
Ru 101.07 Ru.upf
Pb 207.20 Pb.upf
ATOMIC_POSITIONS angstrom
Sb -0.0053 0.0000 1.6741
Sb 1.9669 0.0000 7.7066
Ru 1.6044 1.6226 0.0000
Pb 0.9808 1.6226 4.6903
CELL_PARAMETERS angstrom
3.2088 0.0000 0.0000
0.0000 3.2453 0.0000
-1.2472 0.0000 9.3807
```

Output
The calculation puts the raw formation energy at 27 meV per atom. The total magnetization is 0.345 μB/cell.

no.,total energy (eV/atom)
1,-7.69
2,-5.10
3,-5.74
4,-4.41
5,-7.56
6,-6.34
7,-6.33
8,-5.38
9,-3.62
10,-1.70
11,-5.96
12,-5.28